Entry 1:
Dy3AlGa2Ge2Ir | PBE-GGA | optimized geometry

Cell and atoms, written as CIF:
```
data_Dy3AlGa2Ge2Ir
_symmetry_space_group_name_H-M 'P 1'
_symmetry_Int_Tables_number 1
_cell_length_a 4.227
_cell_length_b 6.996
_cell_length_c 6.996
_cell_angle_alpha 120.41
_cell_angle_beta 90.00
_cell_angle_gamma 90.00
loop_
_symmetry_equiv_pos_as_xyz
'x,y,z'
loop_
_atom_site_label
_atom_site_fract_x
_atom_site_fract_y
_atom_site_fract_z
Al1 0.000 0.771 0.771
Dy1 0.500 0.589 0.002
Dy2 0.500 0.410 0.410
Dy3 0.500 0.002 0.589
Ga1 0.000 0.998 0.232
Ga2 0.000 0.232 0.998
Ge1 0.000 0.667 0.337
Ge2 0.000 0.337 0.667
Ir1 0.500 0.994 0.994
```

Values from the calculation:
The value obtained for the calculated volume is 19.82 Å³ per atom. The density is 9.229 Mg/m³. As for the symmetry: No. 38. The value obtained for the raw total energy is -5.48 eV/atom.

=====

Entry 2:
KReTe2AuS | PBE-GGA | optimized geometry

Cell and atoms, written as CIF:
```
data_KReTe2AuS
_symmetry_space_group_name_H-M 'P 1'
_symmetry_Int_Tables_number 1
_cell_length_a 8.184
_cell_length_b 8.184
_cell_length_c 10.156
_cell_angle_alpha 90.00
_cell_angle_beta 90.00
_cell_angle_gamma 151.57
loop_
_symmetry_equiv_pos_as_xyz
'x,y,z'
loop_
_atom_site_label
_atom_site_fract_x
_atom_site_fract_y
_atom_site_fract_z
Au1 0.049 0.951 0.250
Au2 0.951 0.049 0.750
K1 0.739 0.261 0.250
K2 0.261 0.739 0.750
Re1 0.500 0.500 0.000
Re2 0.500 0.500 0.500
S1 0.450 0.550 0.250
S2 0.550 0.450 0.750
Te1 0.121 0.879 0.012
Te2 0.121 0.879 0.488
Te3 0.879 0.121 0.512
Te4 0.879 0.121 0.988
```

Values from the calculation:
The value obtained for the calculated volume is 26.98 Å³ per atom. The density is 7.278 Mg/m³. As for the symmetry: No. 63. The value obtained for the raw total energy is -4.51 eV/atom.

=====

Entry 3:
Ba2BiWS6 | PBE-GGA | optimized geometry

Cell and atoms, written as CIF:
```
data_Ba2BiWS6
_symmetry_space_group_name_H-M 'P 1'
_symmetry_Int_Tables_number 1
_cell_length_a 7.191
_cell_length_b 7.191
_cell_length_c 7.191
_cell_angle_alpha 120.00
_cell_angle_beta 90.00
_cell_angle_gamma 120.00
loop_
_symmetry_equiv_pos_as_xyz
'x,y,z'
loop_
_atom_site_label
_atom_site_fract_x
_atom_site_fract_y
_atom_site_fract_z
Ba1 0.750 0.500 0.250
Ba2 0.250 0.500 0.750
Bi1 0.000 0.000 0.000
S1 0.265 0.000 0.265
S2 0.735 0.000 0.265
S3 0.265 0.530 0.265
S4 0.265 0.000 0.735
S5 0.735 0.470 0.735
S6 0.735 0.000 0.735
W1 0.500 0.000 0.500
```

Values from the calculation:
The value obtained for the calculated volume is 26.29 Å³ per atom. The density is 5.430 Mg/m³. As for the symmetry: No. 225. The value obtained for the raw total energy is -5.50 eV/atom.

=====

Entry 4:
PrZnNiPd | PBE-GGA | optimized geometry

Cell and atoms, written as CIF:
```
data_PrZnNiPd
_symmetry_space_group_name_H-M 'P 1'
_symmetry_Int_Tables_number 1
_cell_length_a 5.409
_cell_length_b 5.409
_cell_length_c 5.409
_cell_angle_alpha 46.78
_cell_angle_beta 46.78
_cell_angle_gamma 46.78
loop_
_symmetry_equiv_pos_as_xyz
'x,y,z'
loop_
_atom_site_label
_atom_site_fract_x
_atom_site_fract_y
_atom_site_fract_z
Ni1 0.204 0.204 0.204
Pd1 0.790 0.790 0.790
Pr1 0.998 0.998 0.998
Zn1 0.508 0.508 0.508
```

Values from the calculation:
The value obtained for the calculated volume is 19.20 Å³ per atom. The density is 8.031 Mg/m³. As for the formation enthalpy at 0 K: -200 kJ/mol of formula units. As for the symmetry: No. 160. The value obtained for the raw total energy is -4.71 eV/atom.

=====

Entry 5:
HfZrIn2Cu2Ni2 | PBE-GGA | optimized geometry

Cell and atoms, written as CIF:
```
data_HfZrIn2Cu2Ni2
_symmetry_space_group_name_H-M 'P 1'
_symmetry_Int_Tables_number 1
_cell_length_a 4.487
_cell_length_b 4.487
_cell_length_c 6.363
_cell_angle_alpha 90.00
_cell_angle_beta 90.00
_cell_angle_gamma 90.00
loop_
_symmetry_equiv_pos_as_xyz
'x,y,z'
loop_
_atom_site_label
_atom_site_fract_x
_atom_site_fract_y
_atom_site_fract_z
Cu1 0.500 0.000 0.246
Cu2 0.000 0.500 0.754
Hf1 0.000 0.000 0.000
In1 0.500 0.500 0.000
In2 0.000 0.000 0.500
Ni1 0.000 0.500 0.245
Ni2 0.500 0.000 0.755
Zr1 0.500 0.500 0.500
```

Values from the calculation:
The value obtained for the calculated volume is 16.01 Å³ per atom. The density is 9.641 Mg/m³. As for the symmetry: No. 115. The value obtained for the raw total energy is -5.65 eV/atom.

=====

Entry 6:
La2Nd2Se3O4 | PBE-GGA | optimized geometry

Cell and atoms, written as CIF:
```
data_La2Nd2Se3O4
_symmetry_space_group_name_H-M 'P 1'
_symmetry_Int_Tables_number 1
_cell_length_a 8.497
_cell_length_b 6.841
_cell_length_c 6.841
_cell_angle_alpha 34.51
_cell_angle_beta 90.00
_cell_angle_gamma 90.00
loop_
_symmetry_equiv_pos_as_xyz
'x,y,z'
loop_
_atom_site_label
_atom_site_fract_x
_atom_site_fract_y
_atom_site_fract_z
La1 0.238 0.315 0.315
La2 0.762 0.315 0.315
Nd1 0.500 0.984 0.984
Nd2 0.000 0.998 0.998
O1 0.500 0.386 0.386
O2 0.000 0.412 0.412
O3 0.244 0.912 0.912
O4 0.756 0.912 0.912
Se1 0.351 0.639 0.639
Se2 0.649 0.639 0.639
Se3 0.000 0.683 0.683
```

Values from the calculation:
The value obtained for the calculated volume is 20.48 Å³ per atom. The density is 6.391 Mg/m³. As for the symmetry: No. 38. The value obtained for the raw total energy is -7.33 eV/atom.

=====

Entry 7:
GdMgCu | PBE-GGA | optimized geometry

Cell and atoms, written as CIF:
```
data_GdMgCu
_symmetry_space_group_name_H-M 'P 1'
_symmetry_Int_Tables_number 1
_cell_length_a 4.697
_cell_length_b 4.697
_cell_length_c 6.668
_cell_angle_alpha 90.00
_cell_angle_beta 90.00
_cell_angle_gamma 120.00
loop_
_symmetry_equiv_pos_as_xyz
'x,y,z'
loop_
_atom_site_label
_atom_site_fract_x
_atom_site_fract_y
_atom_site_fract_z
Cu1 0.667 0.333 0.250
Cu2 0.333 0.667 0.750
Gd1 0.000 0.000 0.000
Gd2 0.000 0.000 0.500
Mg1 0.333 0.667 0.250
Mg2 0.667 0.333 0.750
```

Values from the calculation:
The value obtained for the calculated volume is 21.24 Å³ per atom. The density is 6.389 Mg/m³. As for the symmetry: No. 194. The value obtained for the raw total energy is -3.40 eV/atom.

=====

Entry 8:
NdUCl3 | PBE-GGA | optimized geometry

Cell and atoms, written as CIF:
```
data_NdUCl3
_symmetry_space_group_name_H-M 'P 1'
_symmetry_Int_Tables_number 1
_cell_length_a 9.192
_cell_length_b 9.192
_cell_length_c 4.910
_cell_angle_alpha 90.00
_cell_angle_beta 90.00
_cell_angle_gamma 120.01
loop_
_symmetry_equiv_pos_as_xyz
'x,y,z'
loop_
_atom_site_label
_atom_site_fract_x
_atom_site_fract_y
_atom_site_fract_z
Cl1 0.333 0.167 0.250
Cl2 0.333 0.667 0.250
Cl3 0.833 0.667 0.250
Cl4 0.167 0.333 0.750
Cl5 0.667 0.333 0.750
Cl6 0.667 0.833 0.750
Nd1 0.167 0.833 0.250
Nd2 0.833 0.167 0.750
U1 0.500 0.500 0.000
U2 0.500 0.500 0.500
```

Values from the calculation:
The value obtained for the calculated volume is 35.93 Å³ per atom. The density is 4.517 Mg/m³. As for the symmetry: No. 194. The value obtained for the raw total energy is -5.20 eV/atom.

=====

Entry 9:
Cs2TcS3 | PBE-GGA | optimized geometry

Cell and atoms, written as CIF:
```
data_Cs2TcS3
_symmetry_space_group_name_H-M 'P 1'
_symmetry_Int_Tables_number 1
_cell_length_a 7.189
_cell_length_b 7.800
_cell_length_c 8.968
_cell_angle_alpha 73.71
_cell_angle_beta 67.63
_cell_angle_gamma 64.63
loop_
_symmetry_equiv_pos_as_xyz
'x,y,z'
loop_
_atom_site_label
_atom_site_fract_x
_atom_site_fract_y
_atom_site_fract_z
Cs1 0.086 0.198 0.139
Cs2 0.327 0.582 0.303
Cs3 0.673 0.418 0.696
Cs4 0.914 0.802 0.861
S1 0.614 0.159 0.115
S2 0.809 0.651 0.282
S3 0.270 0.974 0.493
S4 0.730 0.026 0.507
S5 0.191 0.349 0.718
S6 0.386 0.841 0.885
Tc1 0.613 0.949 0.342
Tc2 0.387 0.051 0.658
```

Values from the calculation:
The value obtained for the calculated volume is 34.67 Å³ per atom. The density is 3.672 Mg/m³. As for the symmetry: No. 2. The value obtained for the raw total energy is -4.92 eV/atom.

=====

Entry 10:
BaMgAsIr | PBE-GGA | optimized geometry

Cell and atoms, written as CIF:
```
data_BaMgAsIr
_symmetry_space_group_name_H-M 'P 1'
_symmetry_Int_Tables_number 1
_cell_length_a 4.964
_cell_length_b 4.964
_cell_length_c 4.964
_cell_angle_alpha 60.00
_cell_angle_beta 60.00
_cell_angle_gamma 60.00
loop_
_symmetry_equiv_pos_as_xyz
'x,y,z'
loop_
_atom_site_label
_atom_site_fract_x
_atom_site_fract_y
_atom_site_fract_z
As1 0.250 0.250 0.250
Ba1 0.500 0.500 0.500
Ir1 0.000 0.000 0.000
Mg1 0.750 0.750 0.750
```

Values from the calculation:
The value obtained for the calculated volume is 21.63 Å³ per atom. The density is 8.231 Mg/m³. As for the symmetry: No. 216. The value obtained for the raw total energy is -4.23 eV/atom.